## Cs2RbV2 (PBE)

Data for a relaxed Cs2RbV2 crystal.

```
data_Cs2RbV2
_symmetry_space_group_name_H-M 'P 4/m b m'
_symmetry_Int_Tables_number 127
_symmetry_space_group_name_Hall '-P 4 2ab'
_cell_length_a 11.723
_cell_length_b 11.723
_cell_length_c 3.786
_cell_angle_alpha 90.00
_cell_angle_beta 90.00
_cell_angle_gamma 90.00
loop_
_atom_site_label
_atom_site_type_symbol
_atom_site_fract_x
_atom_site_fract_y
_atom_site_fract_z
Cs1 Cs 0.206 0.294 0.000
Rb1 Rb 0.000 0.000 0.000
V1 V 0.055 0.555 0.500
```

Results
DFT formation energy: 1.139 eV per atom
crystal system: tetragonal
calculated total energy: -3.044 eV per atom